Record 1
! CaNdAlIn, relaxed, DFT PBE; values from VASP
! energy of formation from the pure elements = -0.354 eV/atom
&SYSTEM
  ibrav = 0, nat = 4, ntyp = 4
/
ATOMIC_SPECIES
Nd 144.24 Nd.upf
Al 26.98 Al.upf
In 114.82 In.upf
Ca 40.08 Ca.upf
ATOMIC_POSITIONS angstrom
Nd 0.000 0.000 0.000
Al 8.052 4.649 3.287
In 2.684 1.550 1.096
Ca 5.368 3.099 2.191
CELL_PARAMETERS angstrom
5.368 0.000 0.000
2.684 4.649 0.000
2.684 1.550 4.383



Record 2
! CaAlInO4, relaxed, DFT PBE; values from VASP
! ΔE_f (raw) = -2.36 eV per atom
&SYSTEM
  ibrav = 0, nat = 14, ntyp = 4
/
ATOMIC_SPECIES
O 16.00 O.upf
Ca 40.08 Ca.upf
Al 26.98 Al.upf
In 114.82 In.upf
ATOMIC_POSITIONS angstrom
O 0.094 5.164 1.693
O -2.568 5.921 0.425
O -1.279 3.246 0.275
O -0.559 5.707 -1.231
O -2.783 4.253 2.817
O -3.503 1.792 4.323
O -4.156 2.335 1.399
O -1.494 1.577 2.667
Ca -1.704 1.099 0.038
Ca -2.358 6.400 3.054
Al -3.030 2.528 2.741
Al -1.032 4.971 0.351
In -4.157 4.546 1.112
In 0.094 2.953 1.980
CELL_PARAMETERS angstrom
-2.901 2.655 -3.864
-4.384 0.469 3.613
3.223 4.375 3.343



Record 3
! CaAlIn2Pd4, relaxed, DFT PBE; values from VASP
! energy of formation from the pure elements = -0.663 eV/atom
&SYSTEM
  ibrav = 0, nat = 8, ntyp = 4
/
ATOMIC_SPECIES
Pd 106.42 Pd.upf
In 114.82 In.upf
Al 26.98 Al.upf
Ca 40.08 Ca.upf
ATOMIC_POSITIONS angstrom
Pd 0.246 -3.877 -7.662
Pd -2.200 -6.248 -5.141
Pd 0.490 -2.078 -5.104
Pd -1.955 -4.450 -2.582
In -0.435 -2.094 -2.561
In -1.274 -6.232 -7.683
Al -0.855 -4.163 -5.122
Ca 0.000 0.000 0.000
CELL_PARAMETERS angstrom
-0.865 0.598 -4.485
2.836 -1.801 -3.153
-3.680 -7.124 -2.606



Record 4
! Ca2AlInPd6, relaxed, DFT PBE; values from VASP
! energy of formation from the pure elements = -0.591 eV/atom
&SYSTEM
  ibrav = 0, nat = 10, ntyp = 4
/
ATOMIC_SPECIES
Pd 106.42 Pd.upf
Al 26.98 Al.upf
Ca 40.08 Ca.upf
In 114.82 In.upf
ATOMIC_POSITIONS angstrom
Pd 4.158 4.052 4.154
Pd 5.011 3.254 1.320
Pd 4.371 0.526 0.752
Pd 2.923 1.955 2.770
Pd 6.246 5.351 2.704
Pd 4.798 6.780 4.721
Al 0.000 0.000 0.000
Ca 2.724 5.387 2.154
Ca 6.445 1.919 3.319
In 2.756 2.683 0.097
CELL_PARAMETERS angstrom
6.510 -0.825 1.318
-0.999 6.191 -1.125
3.657 1.940 5.280



Record 5
! Ca2Al2InPd5, relaxed, DFT PBE; values from VASP
! energy of formation from the pure elements = -0.747 eV/atom
&SYSTEM
  ibrav = 0, nat = 20, ntyp = 4
/
ATOMIC_SPECIES
Pd 106.42 Pd.upf
Ca 40.08 Ca.upf
In 114.82 In.upf
Al 26.98 Al.upf
ATOMIC_POSITIONS angstrom
Pd -4.841 -2.825 3.797
Pd -1.532 -5.147 -0.909
Pd -4.166 -7.188 2.807
Pd -4.404 0.148 3.201
Pd -1.854 -2.138 -0.431
Pd -3.244 -4.407 1.521
Pd -5.763 -5.605 5.083
Pd -6.141 -0.429 5.657
Pd -7.153 -7.874 7.035
Pd -2.866 -9.584 0.947
Ca -1.960 -1.723 2.765
Ca -1.180 -6.919 1.620
Ca -4.181 -8.304 5.862
Ca -4.961 -3.109 7.007
In -3.071 -5.014 4.313
In 0.000 0.000 0.000
Al -0.804 -3.856 1.110
Al -5.338 -6.172 7.517
Al -3.724 -1.089 5.269
Al -2.417 -8.939 3.357
CELL_PARAMETERS angstrom
-2.866 0.015 -2.022
-0.199 -10.309 0.203
-5.943 0.281 8.423



Record 6
! CaPmAlIn, relaxed, DFT PBE; values from VASP
! energy of formation from the pure elements = -0.354 eV/atom
&SYSTEM
  ibrav = 0, nat = 4, ntyp = 4
/
ATOMIC_SPECIES
Al 26.98 Al.upf
Ca 40.08 Ca.upf
In 114.82 In.upf
Pm 145.00 Pm.upf
ATOMIC_POSITIONS angstrom
Al 0.000 0.000 0.000
Ca 2.674 1.544 1.092
In 5.348 3.087 2.183
Pm 8.021 4.631 3.275
CELL_PARAMETERS angstrom
5.348 0.000 0.000
2.674 4.631 0.000
2.674 1.544 4.366



Record 7
! Ca2Al3InPt4, relaxed, DFT PBE; values from VASP
! energy of formation from the pure elements = -0.942 eV/atom
&SYSTEM
  ibrav = 0, nat = 10, ntyp = 4
/
ATOMIC_SPECIES
Pt 195.08 Pt.upf
Al 26.98 Al.upf
Ca 40.08 Ca.upf
In 114.82 In.upf
ATOMIC_POSITIONS angstrom
Pt 2.199 2.199 0.000
Pt 2.199 0.000 6.655
Pt 0.000 2.199 3.662
Pt 0.000 0.000 0.000
Al 0.000 2.199 1.219
Al 0.000 0.000 5.159
Al 2.199 0.000 9.098
Ca 2.199 0.000 2.456
Ca 0.000 2.199 7.861
In 2.199 2.199 5.159
CELL_PARAMETERS angstrom
4.398 0.000 0.000
0.000 4.398 0.000
0.000 0.000 10.317



Record 8
! Ca2Al2InPt5, relaxed, DFT PBE; values from VASP
! energy of formation from the pure elements = -0.878 eV/atom
&SYSTEM
  ibrav = 0, nat = 20, ntyp = 4
/
ATOMIC_SPECIES
Ca 40.08 Ca.upf
Pt 195.08 Pt.upf
Al 26.98 Al.upf
In 114.82 In.upf
ATOMIC_POSITIONS angstrom
Ca 0.000 3.204 8.162
Ca 0.000 1.753 3.204
Ca 0.000 8.162 6.710
Ca 0.000 6.710 1.753
Pt 1.858 9.257 2.098
Pt 1.858 0.658 7.817
Pt 1.858 4.957 0.000
Pt 1.858 7.817 9.257
Pt 1.858 0.000 4.957
Pt 1.858 7.055 4.300
Pt 1.858 5.615 7.055
Pt 1.858 2.860 5.615
Pt 1.858 2.098 0.658
Pt 1.858 4.300 2.860
Al 0.000 3.756 1.201
Al 0.000 1.201 6.158
Al 0.000 6.158 8.714
Al 0.000 8.714 3.756
In 0.000 0.000 0.000
In 0.000 4.957 4.957
CELL_PARAMETERS angstrom
3.717 0.000 0.000
0.000 9.914 0.000
0.000 0.000 9.914



> What is the formula in the eighth record?

Ca2Al2InPt5